# 1
{"formula": "LuAlAg2", "functional": "PBE", "state": "relaxed", "lattice_angstrom": [[0.000, 3.359, 3.359], [3.359, 0.000, 3.359], [3.359, 3.359, 0.000]], "species": ["Ag", "Ag", "Al", "Lu"], "frac_coords": [[0.000, 0.000, 0.000], [0.750, 0.750, 0.750], [0.500, 0.500, 0.500], [0.250, 0.250, 0.250]]}

# 2
{"formula": "RbBeNbNi", "functional": "PBE", "state": "relaxed", "lattice_angstrom": [[0.000, 3.239, 3.239], [3.239, 0.000, 3.239], [3.239, 3.239, 0.000]], "species": ["Be", "Nb", "Ni", "Rb"], "frac_coords": [[0.750, 0.750, 0.750], [0.000, 0.000, 0.000], [0.500, 0.500, 0.500], [0.250, 0.250, 0.250]]}

no.,uncorrected energy (eV/atom)
1,-3.681
2,-3.535